Here is a geometry-optimized CeNdSc2P4 structure from the Alexandria database. Energies are from PBE.

Cell: 6.7855 3.9555 6.8559 Å, 90.00 109.56 90.00°
With the nearest neighbours (Å) after each atom.
Atoms (fractional coordinates):
Ce  0.0000  0.0000  0.0000  6 P 2.84-2.86
Nd  0.0000  0.5000  0.5000  6 P 2.88
Sc  0.5000  0.0000  0.5000  6 P 2.73
Sc  0.5000  0.5000  0.0000  6 P 2.69-2.70
P  0.2705  0.5000  0.2534  3 Sc 2.69-2.73, 2 Ce 2.86, 1 Nd 2.88
P  0.2721  0.0000  0.7618  3 Sc 2.70-2.73, 1 Ce 2.84, 2 Nd 2.88
P  0.7279  0.0000  0.2382  3 Sc 2.70-2.73, 1 Ce 2.84, 2 Nd 2.88
P  0.7295  0.5000  0.7466  3 Sc 2.69-2.73, 2 Ce 2.86, 1 Nd 2.88

- formation enthalpy at 0 K (meV per atom) = -1478
- final energy (eV/atom) = -7.104